# CaCr2Re

A geometry-optimized CaCr2Re structure (PBE, Alexandria).

Energy above the lowest structure with this stoichiometry, eV/atom: 0.387
ρ, g cm⁻³: 8.23
DOS(E_F), states/eV per atom: 0.58
Formation energy from the elements, eV per atom: 0.87
Uncorrected energy, eV/atom: -7.553

a = 3.203 Å, b = 4.733 Å, c = 4.396 Å
α = 90.00°, β = 90.00°, γ = 90.00°
Each line ends with the local moment (μB).
Sites, in units of the cell vectors:
1 Cr 0.500 0.500 0.000  3.15
2 Cr 0.000 0.000 0.000  -2.10
3 Ca 0.000 0.500 0.500  0.12
4 Re 0.500 0.000 0.500  0.95

# KAg2As

A geometry-optimized KAg2As structure (PBE, Alexandria).

ρ, g cm⁻³: 5.98
DOS(E_F), states/eV per atom: 0.19
Formation energy from the elements, eV per atom: 0.12
Uncorrected energy, eV/atom: -2.740

a = 5.060 Å, b = 3.040 Å, c = 5.948 Å
α = 89.79°, β = 90.00°, γ = 90.00°
Sites, in units of the cell vectors:
1 K 0.500 0.750 0.750
2 Ag 0.000 0.246 0.012
3 Ag 0.000 0.254 0.488
4 As 0.500 0.250 0.250

# CsTl12Bi4

A geometry-optimized CsTl12Bi4 structure (PBE, Alexandria).

ρ, g cm⁻³: 8.56
DOS(E_F), states/eV per atom: 0.72
Formation energy from the elements, eV per atom: 0.05
Uncorrected energy, eV/atom: -2.588

a = 9.525 Å, b = 9.525 Å, c = 9.525 Å
α = 109.54°, β = 109.54°, γ = 109.54°
Sites, in units of the cell vectors:
1 Tl 0.499 0.855 0.645
2 Tl 0.501 0.145 0.355
3 Tl 0.856 0.356 0.210
4 Tl 0.644 0.790 0.144
5 Tl 0.355 0.501 0.145
6 Tl 0.855 0.645 0.499
7 Tl 0.645 0.499 0.855
8 Tl 0.210 0.856 0.356
9 Tl 0.790 0.144 0.644
10 Tl 0.144 0.644 0.790
11 Tl 0.356 0.210 0.856
12 Tl 0.145 0.355 0.501
13 Bi 0.000 0.500 0.000
14 Bi 0.000 0.000 0.500
15 Bi 0.500 0.000 0.000
16 Bi 0.500 0.500 0.500
17 Cs 0.000 0.000 0.000

# LaPb3O

A geometry-optimized LaPb3O structure (PBE, Alexandria).

Energy above the lowest structure with this stoichiometry, eV/atom: 0.000
ρ, g cm⁻³: 9.86
DOS(E_F), states/eV per atom: 0.73
Uncorrected energy, eV/atom: -4.742
Formation energy (no corrections), eV per formula unit: -2.70

a = 5.075 Å, b = 5.075 Å, c = 5.075 Å
α = 90.00°, β = 90.00°, γ = 90.00°
Sites, in units of the cell vectors:
1 Pb 0.500 0.000 0.000
2 Pb 0.000 0.500 0.000
3 Pb 0.000 0.000 0.500
4 La 0.500 0.500 0.500
5 O 0.000 0.000 0.000

# Ba2PuRu2N6

A geometry-optimized Ba2PuRu2N6 structure (PBE, Alexandria).

ρ, g cm⁻³: 6.94
DOS(E_F), states/eV per atom: 0.50
Uncorrected energy, eV/atom: -8.300
Formation energy (no corrections), eV per formula unit: -4.62

a = 6.162 Å, b = 6.162 Å, c = 6.851 Å
α = 63.27°, β = 63.27°, γ = 60.00°
Each line ends with the local moment (μB).
Sites, in units of the cell vectors:
1 N 0.240 0.742 0.778  -0.09
2 N 0.258 0.760 0.222  -0.09
3 N 0.240 0.240 0.778  -0.09
4 N 0.742 0.240 0.778  -0.09
5 N 0.760 0.760 0.222  -0.09
6 N 0.760 0.258 0.222  -0.09
7 Pu 0.000 0.000 0.000  3.69
8 Ba 0.228 0.228 0.317  0.01
9 Ba 0.772 0.772 0.683  0.01
10 Ru 0.431 0.431 0.706  0.20
11 Ru 0.569 0.569 0.294  0.20

# AcPu2Sn

A geometry-optimized AcPu2Sn structure (PBE, Alexandria).

Energy above the lowest structure with this stoichiometry, eV/atom: 0.000
ρ, g cm⁻³: 11.52
DOS(E_F), states/eV per atom: 2.97
Formation energy from the elements, eV per atom: -0.18
Uncorrected energy, eV/atom: -9.378

a = 5.132 Å, b = 4.839 Å, c = 4.839 Å
α = 90.00°, β = 90.00°, γ = 90.00°
Each line ends with the local moment (μB).
Sites, in units of the cell vectors:
1 Pu 0.000 0.000 0.500  5.70
2 Pu 0.000 0.500 0.000  5.70
3 Ac 0.500 0.000 0.000  0.21
4 Sn 0.500 0.500 0.500  -0.11

# AlFeSi2

A geometry-optimized AlFeSi2 structure (PBE, Alexandria).

ρ, g cm⁻³: 4.45
DOS(E_F), states/eV per atom: 0.41
Uncorrected energy, eV/atom: -5.881
Formation energy (no corrections), eV per formula unit: -0.47

a = 2.710 Å, b = 2.710 Å, c = 7.070 Å
α = 90.00°, β = 90.00°, γ = 89.99°
Sites, in units of the cell vectors:
1 Si 0.000 0.000 0.953
2 Si 0.000 0.000 0.547
3 Al 0.500 0.500 0.250
4 Fe 0.500 0.500 0.750

# ReAs4Au

A geometry-optimized ReAs4Au structure (PBE, Alexandria).

ρ, g cm⁻³: 10.24
DOS(E_F), states/eV per atom: 0.54
Formation energy from the elements, eV per atom: 1.02
Uncorrected energy, eV/atom: -4.696

a = 5.390 Å, b = 5.390 Å, c = 5.390 Å
α = 60.00°, β = 60.00°, γ = 60.00°
Sites, in units of the cell vectors:
1 As 0.374 0.374 0.374
2 As 0.878 0.374 0.374
3 As 0.374 0.374 0.878
4 As 0.374 0.878 0.374
5 Re 0.000 0.000 0.000
6 Au 0.750 0.750 0.750